Below is a crystal of TeP2OF relaxed with PBEsol, with properties calculated at the meta-GGA SCAN level.

a = 3.8733 Å, b = 5.1357 Å, c = 5.1357 Å
α = 90.00°, β = 90.00°, γ = 90.00°
Last column: nearest neighbours and their distance in Å.
Sites, in units of the cell vectors:
P  0.0000  0.0000  0.5000  2 Te 2.57
P  0.0000  0.5000  0.0000  2 Te 2.57
Te  0.0000  0.0000  0.0000  2 O 1.94
O  0.5000  0.0000  0.0000  2 Te 1.94
F  0.5000  0.5000  0.5000  8 P 3.22

Output
Size of the total moment (μB/f.u.): 3.37
Formation energy without anion corrections (eV/atom): 0.65

Below is a crystal of TiH8N2F6 relaxed with PBEsol, with properties calculated at the meta-GGA SCAN level.

a = 5.0619 Å, b = 5.6351 Å, c = 5.6351 Å
α = 120.00°, β = 90.00°, γ = 90.00°
Last column: nearest neighbours and their distance in Å.
Sites, in units of the cell vectors:
H  0.7436  0.8670  0.4335  1 N 1.04
H  0.7436  0.5665  0.4335  1 N 1.04
H  0.7436  0.5665  0.1330  1 N 1.04
H  0.5284  0.3333  0.6667  1 N 1.04
H  0.4716  0.6667  0.3333  1 N 1.04
H  0.2564  0.4335  0.8670  1 N 1.04
H  0.2564  0.4335  0.5665  1 N 1.04
H  0.2564  0.1330  0.5665  1 N 1.04
N  0.6762  0.6667  0.3333  4 H 1.04
N  0.3238  0.3333  0.6667  4 H 1.04
F  0.7909  0.1592  0.3184  1 Ti 1.88, 2 H 2.06
F  0.7909  0.1592  0.8408  1 Ti 1.88, 2 H 2.06
F  0.7909  0.6816  0.8408  1 Ti 1.88, 2 H 2.06
F  0.2091  0.3184  0.1592  1 Ti 1.88, 2 H 2.06
F  0.2091  0.8408  0.1592  1 Ti 1.88, 2 H 2.06
F  0.2091  0.8408  0.6816  1 Ti 1.88, 2 H 2.06
Ti  0.0000  0.0000  0.0000  6 F 1.88

Output
Size of the total moment (μB/f.u.): 0.00
Energy (eV/atom): -6.681

Below is a crystal of OsPtW relaxed with PBEsol, with properties calculated at the meta-GGA SCAN level.

a = 4.1961 Å, b = 4.1961 Å, c = 4.1961 Å
α = 60.00°, β = 60.00°, γ = 60.00°
Last column: nearest neighbours and their distance in Å.
Sites, in units of the cell vectors:
Os  0.0000  0.0000  0.0000  4 W 2.57
Pt  0.5000  0.5000  0.5000  4 W 2.57
W  0.2500  0.2500  0.2500  4 Os 2.57, 4 Pt 2.57

Output
Size of the total moment (μB/f.u.): 0.00
Energy of formation (eV/atom): 0.20

Below is a crystal of Cd3PCl3 relaxed with PBEsol, with properties calculated at the meta-GGA SCAN level.

a = 7.0672 Å, b = 7.6190 Å, c = 7.6190 Å
α = 120.00°, β = 90.00°, γ = 90.00°
Last column: nearest neighbours and their distance in Å.
Sites, in units of the cell vectors:
Cd  0.5059  0.3333  0.6667  1 P 2.44, 3 Cl 2.59
Cd  0.4941  0.6667  0.3333  1 P 2.44, 3 Cl 2.59
Cd  0.0000  0.5000  0.0000  2 P 2.44
Cd  0.0000  0.0000  0.5000  2 P 2.44
Cd  0.0000  0.5000  0.5000  2 P 2.44
Cd  0.5000  0.0000  0.0000  6 Cl 2.64
P  0.8517  0.3333  0.6667  4 Cd 2.44
P  0.1483  0.6667  0.3333  4 Cd 2.44
Cl  0.3027  0.6603  0.8302  2 Cd 2.59-2.64
Cl  0.3027  0.1698  0.8302  2 Cd 2.59-2.64
Cl  0.6973  0.3397  0.1698  2 Cd 2.59-2.64
Cl  0.6973  0.8302  0.1698  2 Cd 2.59-2.64
Cl  0.6973  0.8302  0.6603  2 Cd 2.59-2.64
Cl  0.3027  0.1698  0.3397  2 Cd 2.59-2.64

Output
Size of the total moment (μB/f.u.): 0.00
Formation energy without anion corrections (eV/atom): -0.87

Below is a crystal of YAgS2 relaxed with PBEsol, with properties calculated at the meta-GGA SCAN level.

a = 3.9148 Å, b = 3.9148 Å, c = 7.1866 Å
α = 74.19°, β = 74.19°, γ = 60.00°
Last column: nearest neighbours and their distance in Å.
Sites, in units of the cell vectors:
Y  0.9998  0.9998  0.0007  6 S 2.66-2.80
S  0.2649  0.2649  0.2053  1 Ag 2.40, 3 Y 2.66
S  0.7469  0.7469  0.7594  3 Ag 2.65, 3 Y 2.80
Ag  0.1475  0.1475  0.5576  4 S 2.40-2.65

Output
Size of the total moment (μB/f.u.): 0.00
Formation energy without anion corrections (eV/atom): -1.52

Below is a crystal of Ca2LaTlH relaxed with PBEsol, with properties calculated at the meta-GGA SCAN level.

a = 3.8421 Å, b = 6.4024 Å, c = 6.4024 Å
α = 90.00°, β = 90.00°, γ = 90.00°
Last column: nearest neighbours and their distance in Å.
Sites, in units of the cell vectors:
H  0.5000  0.0000  0.0000  2 Tl 1.92
Tl  0.0000  0.0000  0.0000  2 H 1.92
Ca  0.0000  0.0000  0.5000  2 Tl 3.20
Ca  0.0000  0.5000  0.0000  2 Tl 3.20
La  0.5000  0.5000  0.5000  8 Ca 3.73, 2 La 3.84

Output
Size of the total moment (μB/f.u.): 1.67
Energy (eV/atom): -27.307

Below is a crystal of Al4TlCo relaxed with PBEsol, with properties calculated at the meta-GGA SCAN level.

a = 5.2672 Å, b = 5.2672 Å, c = 5.2672 Å
α = 60.00°, β = 60.00°, γ = 60.00°
Last column: nearest neighbours and their distance in Å.
Sites, in units of the cell vectors:
Tl  0.0000  0.0000  0.0000  12 Al 3.09, 4 Co 3.23
Co  0.2500  0.2500  0.2500  12 Al 3.09, 4 Tl 3.23
Al  0.6238  0.6238  0.1285  6 Al 2.61-2.66
Al  0.1285  0.6238  0.6238  6 Al 2.61-2.66
Al  0.6238  0.1285  0.6238  6 Al 2.61-2.66
Al  0.6238  0.6238  0.6238  6 Al 2.61-2.66

Output
Size of the total moment (μB/f.u.): 1.78
Energy of formation (eV/atom): 0.41

Below is a crystal of Zr2AlPdCl relaxed with PBEsol, with properties calculated at the meta-GGA SCAN level.

a = 4.5510 Å, b = 4.6308 Å, c = 4.6308 Å
α = 90.00°, β = 90.00°, γ = 90.00°
Last column: nearest neighbours and their distance in Å.
Sites, in units of the cell vectors:
Al  0.5000  0.0000  0.0000  2 Cl 2.28
Zr  0.0000  0.0000  0.5000  2 Cl 2.32
Zr  0.0000  0.5000  0.0000  2 Cl 2.32
Pd  0.5000  0.5000  0.5000  8 Zr 3.25, 4 Al 3.27
Cl  0.0000  0.0000  0.0000  2 Al 2.28, 4 Zr 2.32

Output
Size of the total moment (μB/f.u.): 0.00
Formation energy without anion corrections (eV/atom): 0.10

Below is a crystal of LiCu2P3O10 relaxed with PBEsol, with properties calculated at the meta-GGA SCAN level.

a = 4.6561 Å, b = 8.2105 Å, c = 9.2759 Å
α = 90.00°, β = 103.31°, γ = 90.00°
Last column: nearest neighbours and their distance in Å.
Sites, in units of the cell vectors:
Li  0.0000  0.0000  0.0000  4 O 1.92-2.12
Li  0.0000  0.5000  0.0000  4 O 1.92-2.12
Cu  0.9486  0.4349  0.6719  4 O 1.91-2.00
Cu  0.0514  0.9349  0.3281  4 O 1.91-2.00
Cu  0.9486  0.0651  0.6719  4 O 1.91-2.00
Cu  0.0514  0.5651  0.3281  4 O 1.91-2.00
P  0.4109  0.2500  0.4522  4 O 1.52-1.61
P  0.6743  0.2500  0.1761  4 O 1.51-1.60
P  0.5212  0.2500  0.8604  4 O 1.51-1.66
P  0.5891  0.7500  0.5478  4 O 1.52-1.61
P  0.3257  0.7500  0.8239  4 O 1.51-1.60
P  0.4788  0.7500  0.1396  4 O 1.51-1.66
O  0.3106  0.9052  0.1483  1 P 1.51
O  0.4306  0.2500  0.0234  2 P 1.60-1.66
O  0.2414  0.4049  0.4666  1 P 1.52
O  0.1485  0.5946  0.8168  1 P 1.51
O  0.2414  0.0951  0.4666  1 P 1.52
O  0.3106  0.5948  0.1483  1 P 1.51
O  0.5694  0.7500  0.9766  2 P 1.60-1.66
O  0.6894  0.0948  0.8517  1 P 1.51
O  0.7161  0.2500  0.5620  1 P 1.55
O  0.8515  0.4054  0.1832  1 P 1.51
O  0.7586  0.5951  0.5334  1 P 1.52
O  0.1485  0.9054  0.8168  1 P 1.51
O  0.2096  0.2500  0.7545  1 P 1.55
O  0.7904  0.7500  0.2455  1 P 1.55
O  0.7586  0.9049  0.5334  1 P 1.52
O  0.2839  0.7500  0.4380  1 P 1.55
O  0.8515  0.0946  0.1832  1 P 1.51
O  0.5312  0.7500  0.7121  2 P 1.56-1.61
O  0.4688  0.2500  0.2879  2 P 1.56-1.61
O  0.6894  0.4052  0.8517  1 P 1.51

Output
Size of the total moment (μB/f.u.): 2.00
Formation energy without anion corrections (eV/atom): -2.07

Below is a crystal of Li2CaTe relaxed with PBEsol, with properties calculated at the meta-GGA SCAN level.

a = 4.3709 Å, b = 4.3709 Å, c = 6.3595 Å
α = 69.90°, β = 69.90°, γ = 60.00°
Last column: nearest neighbours and their distance in Å.
Sites, in units of the cell vectors:
Ca  0.7482  0.7482  0.7553  4 Te 3.32-3.67, 4 Li 3.37-3.60
Te  0.5384  0.5384  0.3847  6 Li 2.69-2.90
Li  0.9539  0.9539  0.1384  3 Li 2.57
Li  0.2581  0.2581  0.2256  3 Li 2.57, 3 Te 2.69

Output
Size of the total moment (μB/f.u.): 0.04
Formation energy without anion corrections (eV/atom): -0.74

Below is a crystal of Ba3AgF relaxed with PBEsol, with properties calculated at the meta-GGA SCAN level.

a = 6.3495 Å, b = 6.3495 Å, c = 6.3495 Å
α = 90.00°, β = 90.00°, γ = 90.00°
Last column: nearest neighbours and their distance in Å.
Sites, in units of the cell vectors:
Ba  0.0000  0.5000  0.0000  2 Ag 3.17
Ba  0.0000  0.0000  0.5000  2 Ag 3.17
Ba  0.5000  0.0000  0.0000  2 Ag 3.17
Ag  0.0000  0.0000  0.0000  6 Ba 3.17
F  0.5000  0.5000  0.5000  12 Ba 4.49

Output
Size of the total moment (μB/f.u.): 0.00
Formation energy without anion corrections (eV/atom): -0.48

Below is a crystal of ZrCdIn2 relaxed with PBEsol, with properties calculated at the meta-GGA SCAN level.

a = 3.1536 Å, b = 5.3851 Å, c = 5.3851 Å
α = 109.39°, β = 90.00°, γ = 90.00°
Last column: nearest neighbours and their distance in Å.
Sites, in units of the cell vectors:
Cd  0.5000  0.5000  0.5000  2 Zr 3.11, 8 In 3.12, 2 Cd 3.15
In  0.0000  0.5000  0.0000  4 In 3.11-3.15, 4 Zr 3.12, 4 Cd 3.12
In  0.0000  0.0000  0.5000  4 In 3.11-3.15, 4 Cd 3.12, 4 Zr 3.12
Zr  0.5000  0.0000  0.0000  2 Cd 3.11, 8 In 3.12, 2 Zr 3.15

Output
Size of the total moment (μB/f.u.): 0.00
Energy of formation (eV/atom): -0.24

Question: The highest size of the total moment belongs to which entry?
Answer: TeP2OF

Question: What is the formula in the twelfth record?
Answer: ZrCdIn2

Please write out number 8 again, unchanged.
Below is a crystal of Zr2AlPdCl relaxed with PBEsol, with properties calculated at the meta-GGA SCAN level.

a = 4.5510 Å, b = 4.6308 Å, c = 4.6308 Å
α = 90.00°, β = 90.00°, γ = 90.00°
Last column: nearest neighbours and their distance in Å.
Sites, in units of the cell vectors:
Al  0.5000  0.0000  0.0000  2 Cl 2.28
Zr  0.0000  0.0000  0.5000  2 Cl 2.32
Zr  0.0000  0.5000  0.0000  2 Cl 2.32
Pd  0.5000  0.5000  0.5000  8 Zr 3.25, 4 Al 3.27
Cl  0.0000  0.0000  0.0000  2 Al 2.28, 4 Zr 2.32

Output
Size of the total moment (μB/f.u.): 0.00
Formation energy without anion corrections (eV/atom): 0.10